The following is a DFT calculation (PBE-GGA) of Ho2Zn3Au after structural relaxation.

```
Ho2Zn3Au
1.0
3.5121 0.0000 0.0000
0.0000 4.4531 0.0000
0.0000 0.0000 7.8325
Ho Zn Au
2 3 1
Direct
0.0000 0.0000 0.0000 Ho
0.0000 0.5000 0.4913 Ho
0.5000 0.0000 0.6713 Zn
0.5000 0.5000 0.1504 Zn
0.5000 0.5000 0.8262 Zn
0.5000 0.0000 0.3319 Au
```

Properties
Symmetry: No. 25
Total magnetic moment in μB per atom: 0.000
Energy relative to the elements in eV per atom: -0.522
Energy relative to the lowest polymorph listed for this composition in meV/atom: 4
Theoretical density in g/cm³: 9.80